1.
## CsCuOsI2 (GGA-PBE)

Data for a relaxed structure of CsCuOsI2.

```
data_CsCuOsI2
_chemical_formula_sum 'Cs1 Cu1 Os1 I2'
_space_group_name_H-M_alt 'P 4/m m m'
_space_group_IT_number 123
_space_group_name_Hall '-P 4 2'
_cell_length_a 5.4869
_cell_length_b 5.4869
_cell_length_c 6.3005
_cell_angle_alpha 90.00
_cell_angle_beta 90.00
_cell_angle_gamma 90.00
loop_
_atom_site_label
_atom_site_fract_x
_atom_site_fract_y
_atom_site_fract_z
Cs1 0.0000 0.0000 0.0000
Cu1 0.0000 0.0000 0.5000
Os1 0.5000 0.5000 0.0000
I1 0.0000 0.5000 0.5000
```

Computed properties:
E_form (uncorrected) = 105 kJ/mol of atoms

***

2.
## ScCoRe2 (GGA-PBE)

Data for a relaxed structure of ScCoRe2.

```
data_ScCoRe2
_chemical_formula_sum 'Sc4 Co4 Re8'
_space_group_name_H-M_alt 'I -4 2 d'
_space_group_IT_number 122
_space_group_name_Hall 'I -4 2bw'
_cell_length_a 7.4020
_cell_length_b 7.4020
_cell_length_c 4.8183
_cell_angle_alpha 90.00
_cell_angle_beta 90.00
_cell_angle_gamma 90.00
loop_
_atom_site_label
_atom_site_fract_x
_atom_site_fract_y
_atom_site_fract_z
Sc1 0.0000 0.0000 0.0000
Co1 0.0000 0.0000 0.5000
Re1 0.1900 0.7500 0.6250
```

Computed properties:
formation energy = 0.45 eV/atom

***

Copy entry 1 word for word.
## CsCuOsI2 (GGA-PBE)

Data for a relaxed structure of CsCuOsI2.

```
data_CsCuOsI2
_chemical_formula_sum 'Cs1 Cu1 Os1 I2'
_space_group_name_H-M_alt 'P 4/m m m'
_space_group_IT_number 123
_space_group_name_Hall '-P 4 2'
_cell_length_a 5.4869
_cell_length_b 5.4869
_cell_length_c 6.3005
_cell_angle_alpha 90.00
_cell_angle_beta 90.00
_cell_angle_gamma 90.00
loop_
_atom_site_label
_atom_site_fract_x
_atom_site_fract_y
_atom_site_fract_z
Cs1 0.0000 0.0000 0.0000
Cu1 0.0000 0.0000 0.5000
Os1 0.5000 0.5000 0.0000
I1 0.0000 0.5000 0.5000
```

Computed properties:
E_form (uncorrected) = 105 kJ/mol of atoms